Entry 1:
Compound: CeGdLuHg
Source: the Alexandria database
Functional: PBE
Structure: relaxed

Its density of states at the Fermi level is 1.87 states/eV per atom. Its final energy is -6.260 eV per atom. The crystal system is cubic. The mass density is 9.9 g/cm3. The energy of formation from the pure elements comes out at -0.051 eV/atom.

It has space group F-43m (No. 216), with a = 7.665 Å, b = 7.665 Å, c = 7.665 Å, α = 90.00°, β = 90.00° and γ = 90.00°. Symmetry generates all atoms from Ce at (0.000, 0.000, 0.000), Gd at (0.000, 0.000, 0.500), Lu at (0.250, 0.250, 0.750) and Hg at (0.250, 0.250, 0.250).



Entry 2:
Compound: TeOsSe2
Source: the Alexandria database
Functional: PBE
Structure: relaxed

Its density of states at the Fermi level is 0.76 states/eV per atom. Its final energy is -4.905 eV per atom. As for the uncorrected formation energy: 0.431 eV per atom. The crystal system is tetragonal. The mass density is 7.6 g/cm3.

It has space group I-42d (No. 122), with a = 6.848 Å, b = 6.848 Å, c = 8.883 Å, α = 90.00°, β = 90.00° and γ = 90.00°. Symmetry generates all atoms from Te at (0.000, 0.000, 0.000), Os at (0.000, 0.000, 0.500) and Se at (0.176, 0.750, 0.625).



Entry 3:
Compound: KYB2
Source: the Alexandria database
Functional: PBE
Structure: relaxed

Its density of states at the Fermi level is 0.73 states/eV per atom. Its final energy is -3.873 eV per atom. The crystal system is tetragonal. The mass density is 2.6 g/cm3. The energy of formation from the pure elements comes out at 1.356 eV/atom.

It has space group I4_1/amd (No. 141, origin choice 2), with a = 4.622 Å, b = 4.622 Å, c = 17.851 Å, α = 90.00°, β = 90.00° and γ = 90.00°. Symmetry generates all atoms from K at (0.000, 0.250, 0.375), Y at (0.000, 0.250, 0.875) and B at (0.000, 0.000, 0.000).



Entry 4:
Compound: Ca2RuO6
Source: the Alexandria database
Functional: PBE
Structure: relaxed

Its density of states at the Fermi level is 0.31 states/eV per atom. Its final energy is -6.402 eV per atom. As for the uncorrected formation energy: -1.621 eV per atom. The crystal system is monoclinic. The mass density is 3.7 g/cm3.

It has space group P2_1/c (No. 14), with a = 5.464 Å, b = 6.014 Å, c = 8.900 Å, α = 90.00°, β = 121.06° and γ = 90.00°. Symmetry generates all atoms from Ca at (0.198, 0.091, 0.240), Ru at (0.500, 0.000, 0.000), O at (0.166, 0.158, 0.951), O at (0.285, 0.737, 0.915) and O at (0.425, 0.066, 0.775).



V in Å³/cell, matching the order above: 450.3 416.6 381.3 250.5